*a*
Density functional theory data (GGA-PBE) for a geometry-optimized Ca2NbTl structure.

- Symmetry: Fm-3m (225)

Structure (extended XYZ):
```
4
Lattice="0.0000 3.8109 3.8109 3.8109 0.0000 3.8109 3.8109 3.8109 0.0000" Properties=species:S:1:pos:R:3 pbc="T T T"
Nb 0.0000 0.0000 0.0000
Ca 1.9054 1.9054 1.9054
Ca 5.7163 5.7163 5.7163
Tl 3.8109 3.8109 3.8109
```


*b*
Density functional theory data (GGA-PBE) for a geometry-optimized Ca2NbTl structure.

- Symmetry: I-42d (122)

Structure (extended XYZ):
```
8
Lattice="-3.5514 -1.7908 7.5215 2.7226 -8.0365 -0.6279 2.2487 -4.1243 4.8921" Properties=species:S:1:pos:R:3 pbc="T T T"
Nb 2.2784 -8.5372 3.8555
Nb -0.4144 -4.9136 3.4468
Ca 1.8431 -6.2660 1.7216
Ca -1.3403 -3.1666 5.8947
Ca 0.9791 -11.7446 9.6969
Ca 1.3579 -6.7259 6.2583
Tl -0.8585 -5.4144 7.9302
Tl 0.0000 0.0000 0.0000
```


The winner here is *a*, beating the second structure by 24.1 kJ/mol of atoms.


*a*
Density functional theory data (GGA-PBE) for a geometry-optimized ZrTaPt structure.

- Symmetry: P3m1 (156)

Structure (extended XYZ):
```
3
Lattice="-1.6940 1.5566 2.1462 -1.2547 -0.6784 -2.8044 -2.2816 -5.8375 2.4329" Properties=species:S:1:pos:R:3 pbc="T T T"
Ta -2.2759 -1.0519 1.2727
Pt -0.0246 -0.0630 0.0262
Zr -2.9298 -3.8445 0.4759
```


*b*
Density functional theory data (GGA-PBE) for a geometry-optimized ZrTaPt structure.

- Symmetry: I4mm (107)

Structure (extended XYZ):
```
3
Lattice="-2.8884 -5.8678 -0.9980 -0.0443 -6.5971 -0.4920 -0.7158 -0.8733 2.7571" Properties=species:S:1:pos:R:3 pbc="T T T"
Pt -2.9170 -12.3830 -1.4600
Zr -2.1870 -8.5661 -0.0615
Ta -1.4771 -4.8540 1.2986
```


The winner here is *b*, beating the second structure by 23.3 kJ/mol of atoms.